1.
## Li2TaTl (PBE)

Data for an optimized crystal structure of Li2TaTl.

a = 4.4093 Å, b = 4.4093 Å, c = 3.4491 Å
α = 90.00°, β = 90.00°, γ = 90.00°
Atoms (fractional coordinates):
Li (0.0000, 0.5000, 0.0000)
Li (0.5000, 0.0000, 0.0000)
Ta (0.0000, 0.0000, 0.5000)
Tl (0.5000, 0.5000, 0.5000)

Results
DFT formation energy = 41.32 kJ/mol of atoms
Energy = -4.08 eV per atom
Crystal system = tetragonal

2.
## CsHgPd2 (PBE)

Data for an optimized crystal structure of CsHgPd2.

a = 6.8435 Å, b = 6.8435 Å, c = 6.8435 Å
α = 40.86°, β = 40.86°, γ = 40.86°
Atoms (fractional coordinates):
Cs (0.0000, 0.0000, 0.0000)
Hg (0.5000, 0.5000, 0.5000)
Pd (0.1756, 0.1756, 0.1756)
Pd (0.8244, 0.8244, 0.8244)

Results
DFT formation energy = -17.46 kJ/mol of atoms
Energy = -3.07 eV per atom
Crystal system = trigonal

3.
## Mg2Ni9P3 (PBE)

Data for an optimized crystal structure of Mg2Ni9P3.

a = 6.8388 Å, b = 6.8388 Å, c = 9.1507 Å
α = 112.22°, β = 112.22°, γ = 58.74°
Atoms (fractional coordinates):
Mg (0.0927, 0.2555, 0.2473)
Mg (0.2555, 0.0927, 0.7473)
Mg (0.7445, 0.9073, 0.2527)
Mg (0.9073, 0.7445, 0.7527)
Ni (0.0112, 0.8768, 0.0823)
Ni (0.1232, 0.9888, 0.4177)
Ni (0.1838, 0.3579, 0.5675)
Ni (0.2135, 0.5755, 0.2506)
Ni (0.3082, 0.4933, 0.9554)
Ni (0.3454, 0.6546, 0.7500)
Ni (0.3579, 0.1838, 0.0675)
Ni (0.4245, 0.7865, 0.2494)
Ni (0.4933, 0.3082, 0.4554)
Ni (0.5067, 0.6918, 0.5446)
Ni (0.5755, 0.2135, 0.7506)
Ni (0.6421, 0.8162, 0.9325)
Ni (0.6546, 0.3454, 0.2500)
Ni (0.6918, 0.5067, 0.0446)
Ni (0.7865, 0.4245, 0.7494)
Ni (0.8162, 0.6421, 0.4325)
Ni (0.8768, 0.0112, 0.5823)
Ni (0.9888, 0.1232, 0.9177)
P (0.0000, 0.5000, 0.0000)
P (0.1561, 0.6658, 0.4929)
P (0.3342, 0.8439, 0.0071)
P (0.5000, 0.0000, 0.5000)
P (0.6658, 0.1561, 0.9929)
P (0.8439, 0.3342, 0.5071)

Results
DFT formation energy = -45.66 kJ/mol of atoms
Energy = -5.58 eV per atom
Crystal system = monoclinic

4.
## Na5MgPb2 (PBE)

Data for an optimized crystal structure of Na5MgPb2.

a = 5.6077 Å, b = 5.6077 Å, c = 19.6111 Å
α = 90.00°, β = 90.00°, γ = 120.00°
Atoms (fractional coordinates):
Na (0.0000, 0.0000, 0.1429)
Na (0.0000, 0.0000, 0.3571)
Na (0.0000, 0.0000, 0.6429)
Na (0.0000, 0.0000, 0.8571)
Na (0.3333, 0.6667, 0.0561)
Na (0.3333, 0.6667, 0.2500)
Na (0.3333, 0.6667, 0.4439)
Na (0.6667, 0.3333, 0.5561)
Na (0.6667, 0.3333, 0.7500)
Na (0.6667, 0.3333, 0.9439)
Mg (0.3333, 0.6667, 0.7500)
Mg (0.6667, 0.3333, 0.2500)
Pb (0.3333, 0.6667, 0.6086)
Pb (0.3333, 0.6667, 0.8914)
Pb (0.6667, 0.3333, 0.1086)
Pb (0.6667, 0.3333, 0.3914)

Results
DFT formation energy = -5.13 kJ/mol of atoms
Energy = -2.00 eV per atom
Crystal system = hexagonal
Excess energy over the best structure of this formula in the dataset = 28 meV/atom